Density functional theory data (PBE) for a geometry-optimized Zr2VCdN structure.

abc: 4.6254 4.6254 3.8974
angles: 90.00 90.00 90.00
Closest atoms and distances in Å follow each position.
Space group P4/mmm (No. 123)
One atom of each set of equivalent atoms:
Zr: 0.0000 0.5000 0.0000  2 N 2.31
V: 0.0000 0.0000 0.5000  2 N 1.95
Cd: 0.5000 0.5000 0.5000  8 Zr 3.02, 4 V 3.27
N: 0.0000 0.0000 0.0000  2 V 1.95

Results
- M_tot (μB/atom) = 0.00
- formation energy (no corrections) (meV/atom) = -686
- calculated total energy (eV/atom) = -7.7774
- volume (Å³/atom) = 16.68